# 1
Material: CuTe2Pd
Method: DFT, GGA-PBE
State: optimized geometry

## Properties
Energy relative to the elements, uncorrected in eV/atom: -0.0663
Raw total energy in eV per atom: -3.9594
Calculated volume in Å³/cell: 87.34
Magnetization in Bohr magnetons per cell: 0.0
DOS(E_F) in states/eV/cell: 2.145

The structure in POSCAR format:
```
CuTe2Pd
1.0
4.048 0.000 0.000
2.024 3.506 0.000
2.024 1.169 6.153
Cu Pd Te
1 1 2
Cartesian
4.048 2.337 0.103 Cu
4.048 2.337 2.939 Pd
2.024 1.169 1.457 Te
2.024 1.169 4.731 Te
```


# 2
Material: CuTe2Pd3
Method: DFT, GGA-PBE
State: optimized geometry

## Properties
Energy relative to the elements, uncorrected in eV/atom: -0.1569
Raw total energy in eV per atom: -4.4832
Calculated volume in Å³/cell: 245.29
Magnetization in Bohr magnetons per cell: 0.0
DOS(E_F) in states/eV/cell: 9.822

The structure in POSCAR format:
```
CuTe2Pd3
1.0
-4.084 -5.081 4.351
3.617 0.887 4.431
-2.910 6.129 -2.633
Cu Pd Te
2 6 4
Cartesian
1.809 0.444 2.216 Cu
0.000 0.000 0.000 Cu
-0.387 1.878 1.830 Pd
-4.799 -0.386 2.104 Pd
0.671 -1.875 5.499 Pd
1.422 2.322 4.046 Pd
-2.990 0.057 4.320 Pd
-1.138 -2.319 3.283 Pd
-3.796 -2.490 3.597 Te
0.419 4.425 2.552 Te
-3.130 1.816 2.191 Te
-0.247 0.119 3.958 Te
```


# 3
Material: Cu2Te6Pd
Method: DFT, GGA-PBE
State: optimized geometry

## Properties
Energy relative to the elements, uncorrected in eV/atom: -0.1140
Raw total energy in eV per atom: -3.6957
Calculated volume in Å³/cell: 218.90
Polymorph energy (0 for the lowest one) in eV/atom: 0.000
Magnetization in Bohr magnetons per cell: 0.0
DOS(E_F) in states/eV/cell: 5.011

The structure in POSCAR format:
```
Cu2Te6Pd
1.0
5.135 0.000 0.000
0.000 6.076 -3.508
0.000 0.000 7.016
Te Pd Cu
6 1 2
Cartesian
1.175 2.032 1.173 Te
3.960 2.032 -1.173 Te
1.175 0.000 4.669 Te
3.960 6.076 -1.161 Te
3.960 4.044 2.335 Te
1.175 4.044 4.681 Te
2.568 0.000 0.000 Pd
2.568 2.025 3.508 Cu
2.568 4.051 0.000 Cu
```


# 4
Material: Cu2Te2Pd
Method: DFT, GGA-PBE
State: optimized geometry

## Properties
Energy relative to the elements, uncorrected in eV/atom: 0.0830
Raw total energy in eV per atom: -3.8507
Calculated volume in Å³/cell: 98.15
Polymorph energy (0 for the lowest one) in eV/atom: 0.000
Magnetization in Bohr magnetons per cell: 0.0
DOS(E_F) in states/eV/cell: 2.380

The structure in POSCAR format:
```
Cu2Te2Pd
1.0
3.612 0.000 0.000
0.000 3.612 0.000
1.806 1.806 7.525
Te Cu Pd
2 2 1
Cartesian
1.806 1.806 1.744 Te
3.612 3.612 5.781 Te
1.806 3.612 3.763 Cu
3.612 1.806 3.763 Cu
0.000 0.000 0.000 Pd
```


# 5
Material: Cu3Te8Pd3
Method: DFT, GGA-PBE
State: optimized geometry

## Properties
Energy relative to the elements, uncorrected in eV/atom: -0.1749
Raw total energy in eV per atom: -3.9606
Calculated volume in Å³/cell: 352.92
Magnetization in Bohr magnetons per cell: 0.0
DOS(E_F) in states/eV/cell: 10.017

The structure in POSCAR format:
```
Cu3Te8Pd3
1.0
-4.061 -5.221 -4.228
3.801 -4.213 -5.426
1.183 -7.646 1.329
Pd Cu Te
3 3 8
Cartesian
0.592 -3.823 0.664 Pd
-2.031 -2.611 -2.114 Pd
1.900 -2.106 -2.713 Pd
0.572 -10.589 -5.161 Cu
0.000 0.000 0.000 Cu
0.351 -6.491 -3.164 Cu
0.699 -12.942 -6.308 Te
0.224 -4.139 -2.017 Te
0.854 -8.189 -1.290 Te
0.069 -8.892 -7.035 Te
2.871 -10.188 -4.066 Te
-1.330 -10.727 -3.426 Te
2.252 -6.354 -4.899 Te
-1.949 -6.893 -4.259 Te
```


# 6
Material: CuTe6Pd2
Method: DFT, GGA-PBE
State: optimized geometry

## Properties
Energy relative to the elements, uncorrected in eV/atom: -0.2198
Raw total energy in eV per atom: -3.9234
Calculated volume in Å³/cell: 670.52
Polymorph energy (0 for the lowest one) in eV/atom: 0.000
Magnetization in Bohr magnetons per cell: 0.0
DOS(E_F) in states/eV/cell: 15.602

The structure in POSCAR format:
```
CuTe6Pd2
1.0
-1.521 4.494 2.061
-10.105 -5.392 4.302
10.149 0.304 6.825
Cu Te Pd
3 18 6
Cartesian
0.000 0.000 0.000 Cu
1.877 2.900 8.045 Cu
-3.353 -3.493 5.143 Cu
-8.261 -3.558 5.133 Te
1.874 -1.558 8.248 Te
0.033 1.066 7.213 Te
-3.335 -0.731 8.648 Te
-4.878 -3.456 7.408 Te
-1.509 -1.659 5.974 Te
-4.893 -1.760 3.699 Te
6.785 2.965 8.055 Te
-3.350 0.965 4.939 Te
3.417 1.167 9.489 Te
5.242 0.239 6.814 Te
1.859 0.138 4.540 Te
-1.524 0.037 2.265 Te
3.402 2.863 5.779 Te
-6.718 -0.832 6.373 Te
0.048 -0.630 10.923 Te
0.018 2.762 3.504 Te
-1.494 -3.355 9.683 Te
3.383 0.101 2.275 Pd
-3.368 -1.797 1.434 Pd
0.030 -3.392 7.417 Pd
6.766 0.203 4.550 Pd
0.015 -1.696 3.709 Pd
-6.736 -3.594 2.868 Pd
```


# 7
Material: CuTe3Pd
Method: DFT, GGA-PBE
State: optimized geometry

## Properties
Energy relative to the elements, uncorrected in eV/atom: -0.1485
Raw total energy in eV per atom: -3.8913
Calculated volume in Å³/cell: 262.35
Polymorph energy (0 for the lowest one) in eV/atom: 0.000
Magnetization in Bohr magnetons per cell: 0.0
DOS(E_F) in states/eV/cell: 3.012

The structure in POSCAR format:
```
CuTe3Pd
1.0
4.156 0.000 0.000
0.000 5.249 -1.295
0.000 0.328 11.945
Te Cu Pd
6 2 2
Cartesian
1.039 4.351 1.676 Te
3.117 4.101 10.246 Te
1.039 3.548 6.673 Te
3.117 1.226 8.973 Te
1.039 1.476 0.403 Te
3.117 2.029 3.977 Te
3.117 1.986 6.545 Cu
1.039 3.591 4.104 Cu
1.039 5.250 8.882 Pd
3.117 0.327 1.767 Pd
```


# 8
Material: CuTe6Pd3
Method: DFT, GGA-PBE
State: optimized geometry

## Properties
Energy relative to the elements, uncorrected in eV/atom: -0.2223
Raw total energy in eV per atom: -4.0748
Calculated volume in Å³/cell: 249.19
Magnetization in Bohr magnetons per cell: 0.0
DOS(E_F) in states/eV/cell: 4.293

The structure in POSCAR format:
```
CuTe6Pd3
1.0
-2.137 2.004 -6.424
-6.113 -2.398 -2.595
-5.505 4.378 -0.684
Te Cu Pd
6 1 3
Cartesian
-9.615 2.382 -5.321 Te
-6.072 4.612 -5.449 Te
-6.980 2.315 -2.066 Te
-4.117 1.630 -4.398 Te
-7.675 -0.638 -4.216 Te
-6.809 1.661 -7.652 Te
-9.455 1.580 -8.002 Cu
-8.151 4.077 -3.777 Pd
-4.275 2.364 -1.721 Pd
-5.620 -0.065 -5.911 Pd
```


# 9
Material: CuTe3Pd12
Method: DFT, GGA-PBE
State: optimized geometry

## Properties
Energy relative to the elements, uncorrected in eV/atom: -0.1610
Raw total energy in eV per atom: -4.9007
Calculated volume in Å³/cell: 264.95
Magnetization in Bohr magnetons per cell: 0.0
DOS(E_F) in states/eV/cell: 13.027

The structure in POSCAR format:
```
CuTe3Pd12
1.0
4.089 0.000 0.000
0.000 4.089 0.000
0.000 0.000 15.848
Pd Te Cu
12 3 1
Cartesian
2.044 2.044 7.924 Pd
2.044 0.000 1.840 Pd
2.044 2.044 0.000 Pd
0.000 2.044 14.008 Pd
2.044 0.000 5.921 Pd
2.044 0.000 14.008 Pd
0.000 2.044 1.840 Pd
2.044 2.044 3.955 Pd
0.000 2.044 5.921 Pd
0.000 2.044 9.927 Pd
2.044 2.044 11.894 Pd
2.044 0.000 9.927 Pd
0.000 0.000 12.175 Te
0.000 0.000 3.673 Te
0.000 0.000 7.924 Te
0.000 0.000 0.000 Cu
```


# 10
Material: Cu2TePd4
Method: DFT, GGA-PBE
State: optimized geometry

## Properties
Energy relative to the elements, uncorrected in eV/atom: -0.0994
Raw total energy in eV per atom: -4.6859
Calculated volume in Å³/cell: 229.39
Magnetization in Bohr magnetons per cell: 0.0
DOS(E_F) in states/eV/cell: 7.331

The structure in POSCAR format:
```
Cu2TePd4
1.0
-1.823 -1.863 6.171
5.888 -2.414 -2.092
0.584 6.668 0.102
Pd Cu Te
8 4 2
Cartesian
0.103 -0.486 4.838 Pd
2.486 -0.935 0.552 Pd
0.683 4.885 2.143 Pd
-0.545 1.012 2.461 Pd
3.985 3.196 1.677 Pd
2.145 -2.362 3.989 Pd
-0.141 3.213 4.365 Pd
2.172 1.596 4.959 Pd
4.035 -1.130 2.677 Cu
1.772 3.438 0.262 Cu
1.630 2.452 2.523 Cu
1.861 0.023 2.899 Cu
4.252 1.058 0.024 Te
0.584 6.668 0.102 Te
```


# 11
Material: CuTePd6
Method: DFT, GGA-PBE
State: optimized geometry

## Properties
Energy relative to the elements, uncorrected in eV/atom: -0.1575
Raw total energy in eV per atom: -4.9569
Calculated volume in Å³/cell: 126.94
Magnetization in Bohr magnetons per cell: 0.0
DOS(E_F) in states/eV/cell: 5.559

The structure in POSCAR format:
```
CuTePd6
1.0
-5.537 -0.510 6.608
-5.259 -3.992 3.332
-2.081 -3.790 5.998
Pd Cu Te
6 1 1
Cartesian
-4.866 -3.037 6.016 Pd
-9.635 -6.061 11.916 Pd
-8.011 -5.255 9.922 Pd
-1.601 -0.998 1.980 Pd
-11.275 -7.294 13.958 Pd
-3.242 -2.231 4.022 Pd
0.000 0.000 0.000 Cu
-6.438 -4.146 7.969 Te
```


# 12
Material: Cu2TePd2
Method: DFT, GGA-PBE
State: optimized geometry

## Properties
Energy relative to the elements, uncorrected in eV/atom: 0.0167
Raw total energy in eV per atom: -4.3272
Calculated volume in Å³/cell: 84.54
Polymorph energy (0 for the lowest one) in eV/atom: 0.042
Magnetization in Bohr magnetons per cell: 0.0
DOS(E_F) in states/eV/cell: 2.254

The structure in POSCAR format:
```
Cu2TePd2
1.0
3.521 0.000 0.000
0.000 3.521 0.000
1.760 1.760 6.819
Pd Cu Te
2 2 1
Cartesian
3.521 3.521 5.379 Pd
1.760 1.760 1.440 Pd
3.521 1.760 3.410 Cu
1.760 3.521 3.410 Cu
0.000 0.000 0.000 Te
```


# 13
Material: Cu2Te2Pd
Method: DFT, GGA-PBE
State: optimized geometry

## Properties
Energy relative to the elements, uncorrected in eV/atom: 0.1122
Raw total energy in eV per atom: -3.8215
Calculated volume in Å³/cell: 201.18
Polymorph energy (0 for the lowest one) in eV/atom: 0.029
Magnetization in Bohr magnetons per cell: 0.0
DOS(E_F) in states/eV/cell: 5.539

The structure in POSCAR format:
```
Cu2Te2Pd
1.0
7.410 0.000 0.000
0.000 7.410 0.000
0.000 0.000 3.664
Cu Te Pd
4 4 2
Cartesian
4.591 6.524 1.832 Cu
0.886 4.591 1.832 Cu
2.819 0.886 1.832 Cu
6.524 2.819 1.832 Cu
5.083 1.378 0.000 Te
6.033 5.083 0.000 Te
1.378 2.328 0.000 Te
2.328 6.033 0.000 Te
3.705 3.705 0.000 Pd
0.000 0.000 0.000 Pd
```


# 14
Material: Cu6TePd12
Method: DFT, GGA-PBE
State: optimized geometry

## Properties
Energy relative to the elements, uncorrected in eV/atom: -0.1075
Raw total energy in eV per atom: -4.8461
Calculated volume in Å³/cell: 280.97
Polymorph energy (0 for the lowest one) in eV/atom: 0.000
Magnetization in Bohr magnetons per cell: 0.0
DOS(E_F) in states/eV/cell: 17.571

The structure in POSCAR format:
```
Cu6TePd12
1.0
6.464 0.000 2.072
-3.210 5.987 2.601
0.044 0.000 7.274
Cu Pd Te
6 12 1
Cartesian
-0.143 4.715 7.795 Cu
5.152 1.879 6.230 Cu
1.225 2.836 3.655 Cu
3.442 1.272 4.153 Cu
2.074 3.151 8.292 Cu
-1.853 4.109 5.717 Cu
1.736 0.700 2.110 Pd
4.280 1.631 8.772 Pd
3.780 3.743 10.340 Pd
-0.982 4.356 3.175 Pd
2.948 3.412 5.734 Pd
1.562 5.287 9.838 Pd
2.643 0.931 6.694 Pd
0.656 5.056 5.253 Pd
2.375 5.656 7.313 Pd
-0.482 2.244 1.608 Pd
0.924 0.331 4.635 Pd
0.351 2.575 6.213 Pd
0.000 0.000 0.000 Te
```


# 15
Material: CuTe4Pd
Method: DFT, GGA-PBE
State: optimized geometry

## Properties
Energy relative to the elements, uncorrected in eV/atom: -0.1656
Raw total energy in eV per atom: -3.8082
Calculated volume in Å³/cell: 299.21
Polymorph energy (0 for the lowest one) in eV/atom: 0.000
Magnetization in Bohr magnetons per cell: 0.0
DOS(E_F) in states/eV/cell: 5.808

The structure in POSCAR format:
```
CuTe4Pd
1.0
4.068 0.000 0.000
0.000 8.661 0.374
0.000 -3.296 8.351
Te Pd Cu
8 2 2
Cartesian
4.068 -2.183 5.982 Te
2.034 0.801 3.932 Te
2.034 3.483 8.294 Te
0.000 3.796 1.994 Te
2.034 4.564 4.793 Te
4.068 1.569 6.731 Te
0.000 7.547 2.742 Te
2.034 1.882 0.430 Te
2.034 5.671 2.368 Pd
2.034 -0.307 6.356 Pd
0.000 0.000 0.000 Cu
0.000 2.682 4.362 Cu
```


# 16
Material: CuTe3Pd
Method: DFT, GGA-PBE
State: optimized geometry

## Properties
Energy relative to the elements, uncorrected in eV/atom: 0.6185
Raw total energy in eV per atom: -3.1243
Calculated volume in Å³/cell: 145.87
Polymorph energy (0 for the lowest one) in eV/atom: 0.767
Magnetization in Bohr magnetons per cell: 0.0
DOS(E_F) in states/eV/cell: 5.172

The structure in POSCAR format:
```
CuTe3Pd
1.0
5.264 0.000 0.000
0.000 5.264 0.000
0.000 0.000 5.264
Te Pd Cu
3 1 1
Cartesian
0.000 0.000 2.632 Te
0.000 2.632 0.000 Te
2.632 0.000 0.000 Te
0.000 0.000 0.000 Pd
2.632 2.632 2.632 Cu
```


# 17
Material: CuTe2Pd4
Method: DFT, GGA-PBE
State: optimized geometry

## Properties
Energy relative to the elements, uncorrected in eV/atom: 0.1582
Raw total energy in eV per atom: -4.2919
Calculated volume in Å³/cell: 146.00
Magnetization in Bohr magnetons per cell: 0.0
DOS(E_F) in states/eV/cell: 3.384

The structure in POSCAR format:
```
CuTe2Pd4
1.0
-2.378 -2.422 3.205
-2.090 -2.435 -3.391
2.691 -6.966 0.130
Te Pd Cu
2 4 1
Cartesian
-1.021 -3.546 -0.038 Te
-0.756 -8.277 -0.018 Te
-1.189 -1.211 1.602 Pd
-2.636 -6.545 -0.103 Pd
-1.045 -1.217 -1.695 Pd
0.859 -5.279 0.047 Pd
0.000 0.000 0.000 Cu
```


# 18
Material: Cu2TePd2
Method: DFT, GGA-PBE
State: optimized geometry

## Properties
Energy relative to the elements, uncorrected in eV/atom: 0.1649
Raw total energy in eV per atom: -4.1791
Calculated volume in Å³/cell: 85.82
Polymorph energy (0 for the lowest one) in eV/atom: 0.190
Magnetization in Bohr magnetons per cell: 0.0
DOS(E_F) in states/eV/cell: 3.081

The structure in POSCAR format:
```
Cu2TePd2
1.0
3.844 0.000 0.000
0.000 3.844 0.000
1.922 1.922 5.809
Cu Te Pd
2 1 2
Cartesian
1.922 1.922 1.191 Cu
3.844 3.844 4.618 Cu
0.000 0.000 0.000 Te
1.922 3.844 2.904 Pd
3.844 1.922 2.904 Pd
```


# 19
Material: CuTe6Pd2
Method: DFT, GGA-PBE
State: optimized geometry

## Properties
Energy relative to the elements, uncorrected in eV/atom: -0.0212
Raw total energy in eV per atom: -3.7248
Calculated volume in Å³/cell: 490.21
Polymorph energy (0 for the lowest one) in eV/atom: 0.199
Magnetization in Bohr magnetons per cell: 0.0
DOS(E_F) in states/eV/cell: 21.002

The structure in POSCAR format:
```
CuTe6Pd2
1.0
-2.694 5.160 2.266
-4.047 -3.519 3.202
7.888 -0.177 9.777
Cu Te Pd
2 12 4
Cartesian
-3.370 0.820 2.734 Cu
3.944 -0.088 4.889 Cu
-1.125 -1.937 6.330 Te
-0.708 1.044 8.663 Te
1.430 -1.995 9.497 Te
-2.951 3.509 2.444 Te
-0.283 3.459 5.749 Te
-3.790 -1.869 3.024 Te
4.515 0.362 9.894 Te
2.272 3.401 8.915 Te
1.965 0.983 11.962 Te
-3.368 1.102 5.352 Te
-0.818 0.481 3.283 Te
1.856 0.420 6.583 Te
1.905 0.702 9.273 Pd
-0.758 0.762 5.972 Pd
6.557 -0.147 8.127 Pd
1.331 -0.030 1.650 Pd
```


# 20
Material: CuTe2Pd
Method: DFT, GGA-PBE
State: optimized geometry

## Properties
Energy relative to the elements, uncorrected in eV/atom: -0.0865
Raw total energy in eV per atom: -3.9796
Calculated volume in Å³/cell: 212.85
Magnetization in Bohr magnetons per cell: 0.0
DOS(E_F) in states/eV/cell: 7.121

The structure in POSCAR format:
```
CuTe2Pd
1.0
5.940 0.000 0.000
0.000 5.940 0.000
2.970 2.970 6.032
Te Pd Cu
4 2 2
Cartesian
7.425 7.372 4.524 Te
4.455 4.509 4.524 Te
1.539 4.455 1.508 Te
4.402 1.485 1.508 Te
0.000 0.000 0.000 Pd
5.940 2.970 3.016 Pd
2.970 2.970 0.000 Cu
2.970 5.940 3.016 Cu
```


# 21
Material: CuTe2Pd
Method: DFT, GGA-PBE
State: optimized geometry

## Properties
Energy relative to the elements, uncorrected in eV/atom: -0.0734
Raw total energy in eV per atom: -3.9665
Calculated volume in Å³/cell: 105.61
Magnetization in Bohr magnetons per cell: 0.0
DOS(E_F) in states/eV/cell: 2.971

The structure in POSCAR format:
```
CuTe2Pd
1.0
-0.945 -3.342 2.141
-0.005 -0.125 -4.079
7.052 -1.962 0.058
Te Pd Cu
2 1 1
Cartesian
-0.218 -2.654 -0.441 Te
3.473 -2.525 -2.488 Te
4.266 -3.905 -0.404 Pd
1.025 -1.839 -2.511 Cu
```


# 22
Material: Cu2TePd7
Method: DFT, GGA-PBE
State: optimized geometry

## Properties
Energy relative to the elements, uncorrected in eV/atom: 0.3376
Raw total energy in eV per atom: -4.4308
Calculated volume in Å³/cell: 195.50
Magnetization in Bohr magnetons per cell: 0.0
DOS(E_F) in states/eV/cell: 10.742

The structure in POSCAR format:
```
Cu2TePd7
1.0
-0.143 1.757 3.984
-0.698 -6.524 2.852
6.576 2.658 -0.936
Pd Te Cu
7 1 2
Cartesian
5.550 -1.214 3.116 Pd
5.031 0.708 -0.132 Pd
2.867 -1.055 2.949 Pd
0.846 -4.574 2.047 Pd
3.878 -3.325 3.987 Pd
1.857 1.215 1.912 Pd
0.185 -0.895 2.783 Pd
0.000 0.000 0.000 Te
4.311 0.767 2.198 Cu
1.424 -2.876 3.701 Cu
```